No. 1
## RbMnRhSe3 (PBE)

Data for RbMnRhSe3 after structural relaxation.

Cell lengths 3.9463, 8.4559, 10.1453 Å; angles 115.07, 90.00, 90.00 degrees
Last column: magnetic moment on the atom in μB.
Fractional coordinates of all 12 atoms:
Rb 0.2500 0.2466 0.2655  0.01
Rb 0.7500 0.7534 0.7345  0.01
Mn 0.2500 0.0951 0.6243  4.06
Mn 0.7500 0.9049 0.3757  4.06
Rh 0.2500 0.6742 0.1463  0.16
Rh 0.7500 0.3258 0.8537  0.16
Se 0.7500 0.8647 0.1247  0.04
Se 0.2500 0.1353 0.8753  0.04
Se 0.2500 0.7603 0.4373  0.09
Se 0.7500 0.2397 0.5627  0.09
Se 0.7500 0.4748 0.1223  0.04
Se 0.2500 0.5252 0.8777  0.04

## Properties
The calculation puts the uncorrected formation energy at -628 meV/atom. As for the crystal system: monoclinic. Its density of states at the Fermi level is 0.94 states/eV/f.u. Its symmetry is P2_1/m.

---

No. 2
## Th3TeI7 (PBE)

Data for Th3TeI7 after structural relaxation.

Cell lengths 8.1357, 8.5865, 8.5865 Å; angles 120.00, 90.00, 90.00 degrees
Last column: magnetic moment on the atom in μB.
Fractional coordinates of all 11 atoms:
Th 0.7818 0.5144 0.4856  0.51
Th 0.7818 0.5144 0.0288  0.51
Th 0.7818 0.9712 0.4856  0.51
Te 0.5799 0.3333 0.6667  0.01
I 0.0066 0.1635 0.8365  0.00
I 0.0066 0.1635 0.3271  0.00
I 0.0640 0.6667 0.3333  0.00
I 0.5353 0.8363 0.1637  -0.01
I 0.5353 0.3273 0.1637  -0.01
I 0.5353 0.8363 0.6727  -0.01
I 0.0066 0.6729 0.8365  0.00

## Properties
The calculation puts the uncorrected formation energy at -1115 meV/atom. As for the crystal system: trigonal. Its symmetry is P3m1.

---

No. 3
## SrSc2Au2 (PBE)

Data for SrSc2Au2 after structural relaxation.

Cell lengths 4.6823, 4.6823, 6.7493 Å; angles 69.70, 69.70, 90.00 degrees
Fractional coordinates of all 5 atoms:
Sc 0.7500 0.2500 0.5000
Sc 0.2500 0.7500 0.5000
Sr 0.0000 0.0000 0.0000
Au 0.3808 0.3808 0.2384
Au 0.6192 0.6192 0.7616

## Properties
As for the crystal system: tetragonal. For the excess energy over the best structure of this formula in the dataset, the calculation gives 0.0 meV per atom. Its density of states at the Fermi level is 2.47 states/eV/f.u. The formation energy from the elements comes out at -2.95 eV/f.u. Its symmetry is I4/mmm.

---

No. 4
## ReTc2Sb (PBE)

Data for ReTc2Sb after structural relaxation.

Cell lengths 4.8560, 4.8560, 4.7944 Å; angles 80.35, 80.35, 35.82 degrees
Fractional coordinates of all 4 atoms:
Re 0.2500 0.2500 0.2500
Sb 0.7500 0.7500 0.7500
Tc 0.9879 0.9879 0.0287
Tc 0.5121 0.5121 0.4713

## Properties
The calculation puts the uncorrected formation energy at 343 meV/atom. As for the crystal system: monoclinic. Its density of states at the Fermi level is 4.01 states/eV/f.u. Its symmetry is C2/m.

---

No. 5
## CaAcGe (PBE)

Data for CaAcGe after structural relaxation.

Cell lengths 4.5831, 4.9591, 4.9591 Å; angles 120.00, 90.00, 90.00 degrees
Last column: magnetic moment on the atom in μB.
Fractional coordinates of all 3 atoms:
Ac 0.3443 0.6667 0.3333  0.14
Ca 0.8475 0.3333 0.6667  0.07
Ge 0.8082 0.0000 0.0000  0.00

## Properties
As for the crystal system: trigonal. For the excess energy over the best structure of this formula in the dataset, the calculation gives 175.8 meV per atom. Its density of states at the Fermi level is 1.67 states/eV/f.u. The formation energy from the elements comes out at -1.14 eV/f.u. Its symmetry is P3m1.

---

No. 6
## AlTe2Se (PBE)

Data for AlTe2Se after structural relaxation.

Cell lengths 5.2576, 5.2576, 3.4852 Å; angles 90.00, 90.00, 89.94 degrees
Fractional coordinates of all 4 atoms:
Te 0.0000 0.0000 0.0000
Te 0.5000 0.5000 0.0000
Al 0.5000 0.0000 0.5000
Se 0.0000 0.5000 0.5000

## Properties
The calculation puts the uncorrected formation energy at 274 meV/atom. As for the crystal system: orthorhombic. Its density of states at the Fermi level is 2.78 states/eV/f.u. Its symmetry is Cmmm.